# SmTe2 GGA-PBE relaxed
data_SmTe2
_cell_length_a 4.093
_cell_length_b 4.093
_cell_length_c 5.967
_cell_angle_alpha 110.11
_cell_angle_beta 110.11
_cell_angle_gamma 89.92
_space_group_name_H-M_alt 'P 1'
_space_group_IT_number 1
_space_group_name_Hall 'P 1'
loop_
_atom_site_label
_atom_site_type_symbol
_atom_site_fract_x
_atom_site_fract_y
_atom_site_fract_z
Te1 Te 0.153 0.153 0.303
Te2 Te 0.847 0.847 0.697
Sm1 Sm 0.500 0.500 0.000
# crystal system	monoclinic
# calculated volume	87	Å³ per cell
# calculated total energy	-14.200	eV/cell
# energy relative to the elements, uncorrected	-3.2	eV per formula unit

=====

# SmTe3 GGA-PBE relaxed
data_SmTe3
_cell_length_a 4.407
_cell_length_b 6.046
_cell_length_c 6.125
_cell_angle_alpha 119.57
_cell_angle_beta 111.08
_cell_angle_gamma 90.00
_space_group_name_H-M_alt 'P 1'
_space_group_IT_number 1
_space_group_name_Hall 'P 1'
loop_
_atom_site_label
_atom_site_type_symbol
_atom_site_fract_x
_atom_site_fract_y
_atom_site_fract_z
Te1 Te 0.306 0.631 0.613
Te2 Te 0.500 0.444 0.000
Te3 Te 0.694 0.018 0.387
Sm1 Sm 0.000 0.074 0.000
# crystal system	orthorhombic
# calculated volume	129	Å³ per cell
# calculated total energy	-17.136	eV/cell
# energy relative to the elements, uncorrected	-3.0	eV per formula unit